No. 1
# Ce4Bi5I

A relaxed Ce4Bi5I crystal (GGA-PBE, Alexandria via LeMat-Bulk).

Properties
Size of the total moment   0.318 μB per atom
Crystal system   monoclinic
Symmetry   C2/m (12)
Energy   -5.007 eV/atom
ΔE_f (raw)   -0.5375 eV/atom

abc: 9.697 9.697 7.118
angles: 110.46 110.46 34.82
Element x y z (fractional)
Ce 0.015 0.015 0.256
Ce 0.335 0.335 0.069
Ce 0.665 0.665 0.931
Ce 0.985 0.985 0.744
Bi 0.164 0.164 0.692
Bi 0.172 0.172 0.165
Bi 0.500 0.500 0.000
Bi 0.828 0.828 0.835
Bi 0.836 0.836 0.308
I 0.500 0.500 0.500


No. 2
# CaTaSe2

A relaxed CaTaSe2 crystal (GGA-PBE, Alexandria via LeMat-Bulk).

Properties
Size of the total moment   0.089 μB per atom
Crystal system   orthorhombic
Symmetry   Imm2 (44)
Energy   -6.076 eV/atom
ΔE_f (raw)   -0.8706 eV/atom

abc: 7.145 7.145 7.145
angles: 151.28 150.89 41.35
Element x y z (fractional)
Ca 0.000 0.000 0.000
Ta 0.744 0.244 0.500
Se 0.325 0.825 0.500
Se 0.600 0.600 0.000


No. 3
# Sr3Ag2Hg7

A relaxed Sr3Ag2Hg7 crystal (GGA-PBE, Alexandria via LeMat-Bulk).

Properties
Size of the total moment   0.000 μB per atom
Crystal system   trigonal
Symmetry   R-3m (166)
Formation enthalpy at 0 K   -0.269 eV per atom
Energy   -1.341 eV/atom

abc: 10.386 10.386 10.386
angles: 34.52 34.52 34.52
Element x y z (fractional)
Sr 0.000 0.000 0.000
Sr 0.142 0.142 0.142
Sr 0.858 0.858 0.858
Ag 0.335 0.335 0.335
Ag 0.665 0.665 0.665
Hg 0.074 0.586 0.586
Hg 0.414 0.414 0.926
Hg 0.414 0.926 0.414
Hg 0.500 0.500 0.500
Hg 0.586 0.074 0.586
Hg 0.586 0.586 0.074
Hg 0.926 0.414 0.414


No. 4
# Li2CaMg

A relaxed Li2CaMg crystal (GGA-PBE, Alexandria via LeMat-Bulk).

Properties
Size of the total moment   0.000 μB per atom
Crystal system   tetragonal
Symmetry   P4/mmm (123)
Formation enthalpy at 0 K   -0.017 eV per atom
Energy   -1.873 eV/atom

abc: 3.721 3.721 7.333
angles: 90.00 90.00 90.00
Element x y z (fractional)
Li 0.000 0.000 0.202
Li 0.000 0.000 0.798
Ca 0.500 0.500 0.500
Mg 0.500 0.500 0.000


No. 5
# MgTlGaBr4

A relaxed MgTlGaBr4 crystal (GGA-PBE, Alexandria via LeMat-Bulk).

Properties
Size of the total moment   0.000 μB per atom
Crystal system   monoclinic
Symmetry   P2_1/m (11)
Energy   -2.959 eV/atom
ΔE_f (raw)   -1.0050 eV/atom

abc: 7.571 7.710 9.041
angles: 90.00 107.89 90.00
Element x y z (fractional)
Mg 0.244 0.250 0.315
Mg 0.756 0.750 0.685
Tl 0.241 0.750 0.049
Tl 0.759 0.250 0.951
Ga 0.226 0.750 0.537
Ga 0.774 0.250 0.463
Br 0.022 0.503 0.258
Br 0.022 0.997 0.258
Br 0.441 0.250 0.139
Br 0.455 0.250 0.589
Br 0.545 0.750 0.411
Br 0.559 0.750 0.861
Br 0.978 0.003 0.742
Br 0.978 0.497 0.742


No. 6
# GeH2Au2

A relaxed GeH2Au2 crystal (GGA-PBE, Alexandria via LeMat-Bulk).

Properties
Size of the total moment   0.000 μB per atom
Crystal system   tetragonal
Symmetry   I4/mmm (139)
Energy   -3.079 eV/atom

abc: 5.260 5.260 5.260
angles: 134.49 134.49 66.32
Element x y z (fractional)
Ge 0.000 0.000 0.000
H 0.287 0.287 0.000
H 0.713 0.713 0.000
Au 0.250 0.750 0.500
Au 0.750 0.250 0.500